A plane-wave DFT calculation with PBE was carried out for crystalline Cr4CuBr at its relaxed geometry. Values from VASP.

Geometry as Quantum ESPRESSO input:
```
&SYSTEM
  ibrav = 0, nat = 6, ntyp = 3
/
ATOMIC_SPECIES
Cr 52.00 Cr.upf
Cu 63.55 Cu.upf
Br 79.90 Br.upf
CELL_PARAMETERS angstrom
0.000 3.443 3.443
3.443 0.000 3.443
3.443 3.443 0.000
ATOMIC_POSITIONS crystal
Cr 0.121 0.121 0.121
Cr 0.121 0.121 0.636
Cr 0.121 0.636 0.121
Cr 0.636 0.121 0.121
Cu 0.750 0.750 0.750
Br 0.500 0.500 0.500
```

Computed properties:
* energy relative to the elements, uncorrected: 879 meV/atom

A plane-wave DFT calculation with PBE was carried out for crystalline La2TbPmHo at its relaxed geometry. Values from VASP.

Geometry as Quantum ESPRESSO input:
```
&SYSTEM
  ibrav = 0, nat = 10, ntyp = 4
/
ATOMIC_SPECIES
La 138.91 La.upf
Tb 158.93 Tb.upf
Pm 145.00 Pm.upf
Ho 164.93 Ho.upf
CELL_PARAMETERS angstrom
6.488 0.000 0.000
0.000 7.915 0.000
0.000 0.000 6.792
ATOMIC_POSITIONS crystal
La 0.250 0.202 0.208
La 0.250 0.798 0.208
La 0.750 0.202 0.792
La 0.750 0.798 0.792
Tb 0.250 0.000 0.678
Tb 0.750 0.000 0.322
Pm 0.250 0.500 0.910
Pm 0.750 0.500 0.090
Ho 0.000 0.500 0.500
Ho 0.500 0.500 0.500
```

Computed properties:
* total DFT energy (no corrections): -4.54 eV per atom

A plane-wave DFT calculation with PBE was carried out for crystalline Hf2TcSnB at its relaxed geometry. Values from VASP.

Geometry as Quantum ESPRESSO input:
```
&SYSTEM
  ibrav = 0, nat = 5, ntyp = 4
/
ATOMIC_SPECIES
Hf 178.49 Hf.upf
Tc 98.00 Tc.upf
Sn 118.71 Sn.upf
B 10.81 B.upf
CELL_PARAMETERS angstrom
5.204 0.000 0.000
0.000 5.204 0.000
0.000 0.000 4.808
ATOMIC_POSITIONS crystal
Hf 0.000 0.500 0.000
Hf 0.500 0.000 0.000
Tc 0.000 0.000 0.500
Sn 0.000 0.000 0.000
B 0.500 0.500 0.500
```

Computed properties:
* total DFT energy (no corrections): -5.98 eV per atom

A plane-wave DFT calculation with PBE was carried out for crystalline BeZnCdH6 at its relaxed geometry. Values from VASP.

Geometry as Quantum ESPRESSO input:
```
&SYSTEM
  ibrav = 0, nat = 9, ntyp = 4
/
ATOMIC_SPECIES
Be 9.01 Be.upf
Zn 65.41 Zn.upf
Cd 112.41 Cd.upf
H 1.01 H.upf
CELL_PARAMETERS angstrom
4.507 0.000 0.000
-2.254 3.904 0.000
0.000 0.000 4.355
ATOMIC_POSITIONS crystal
Be 0.000 0.000 0.000
Zn 0.667 0.333 0.000
Cd 0.333 0.667 0.500
H 0.303 0.009 0.218
H 0.303 0.294 0.782
H 0.706 0.009 0.782
H 0.706 0.697 0.218
H 0.991 0.294 0.218
H 0.991 0.697 0.782
```

Computed properties:
* total DFT energy (no corrections): -2.70 eV per atom

A plane-wave DFT calculation with PBE was carried out for crystalline Pm5Si5Tc2 at its relaxed geometry. Values from VASP.

Geometry as Quantum ESPRESSO input:
```
&SYSTEM
  ibrav = 0, nat = 12, ntyp = 3
/
ATOMIC_SPECIES
Pm 145.00 Pm.upf
Si 28.09 Si.upf
Tc 98.00 Tc.upf
CELL_PARAMETERS angstrom
6.208 -2.174 0.000
6.208 2.174 0.000
-1.235 0.000 10.017
ATOMIC_POSITIONS crystal
Pm 0.000 0.000 0.000
Pm 0.149 0.149 0.593
Pm 0.278 0.278 0.897
Pm 0.722 0.722 0.103
Pm 0.851 0.851 0.407
Si 0.155 0.155 0.282
Si 0.401 0.401 0.178
Si 0.500 0.500 0.500
Si 0.599 0.599 0.822
Si 0.845 0.845 0.718
Tc 0.422 0.422 0.692
Tc 0.578 0.578 0.308
```

Computed properties:
* energy relative to the elements, uncorrected: -495 meV/atom

A plane-wave DFT calculation with PBE was carried out for crystalline CsDyCu2Br8 at its relaxed geometry. Values from VASP.

Geometry as Quantum ESPRESSO input:
```
&SYSTEM
  ibrav = 0, nat = 12, ntyp = 4
/
ATOMIC_SPECIES
Cs 132.91 Cs.upf
Dy 162.50 Dy.upf
Cu 63.55 Cu.upf
Br 79.90 Br.upf
CELL_PARAMETERS angstrom
5.339 -3.904 0.000
5.339 3.904 0.000
-0.728 0.000 10.801
ATOMIC_POSITIONS crystal
Cs 0.000 0.000 0.000
Dy 0.000 0.000 0.500
Cu 0.368 0.368 0.707
Cu 0.632 0.632 0.293
Br 0.236 0.757 0.304
Br 0.243 0.764 0.696
Br 0.264 0.264 0.506
Br 0.333 0.333 0.917
Br 0.667 0.667 0.083
Br 0.736 0.736 0.494
Br 0.757 0.236 0.304
Br 0.764 0.243 0.696
```

Computed properties:
* energy relative to the elements, uncorrected: -1009 meV/atom

A plane-wave DFT calculation with PBE was carried out for crystalline Tl2ZnPdC at its relaxed geometry. Values from VASP.

Geometry as Quantum ESPRESSO input:
```
&SYSTEM
  ibrav = 0, nat = 5, ntyp = 4
/
ATOMIC_SPECIES
Tl 204.38 Tl.upf
Zn 65.41 Zn.upf
Pd 106.42 Pd.upf
C 12.01 C.upf
CELL_PARAMETERS angstrom
5.127 0.000 0.000
0.000 5.127 0.000
0.000 0.000 3.768
ATOMIC_POSITIONS crystal
Tl 0.000 0.500 0.000
Tl 0.500 0.000 0.000
Zn 0.000 0.000 0.500
Pd 0.500 0.500 0.500
C 0.000 0.000 0.000
```

Computed properties:
* total DFT energy (no corrections): -3.35 eV per atom

A plane-wave DFT calculation with PBE was carried out for crystalline Ti3Al3ReRh2 at its relaxed geometry. Values from VASP.

Geometry as Quantum ESPRESSO input:
```
&SYSTEM
  ibrav = 0, nat = 9, ntyp = 4
/
ATOMIC_SPECIES
Ti 47.87 Ti.upf
Al 26.98 Al.upf
Re 186.21 Re.upf
Rh 102.91 Rh.upf
CELL_PARAMETERS angstrom
7.321 0.000 0.000
-3.660 6.340 0.000
0.000 0.000 3.020
ATOMIC_POSITIONS crystal
Ti 0.000 0.285 0.000
Ti 0.285 0.000 0.000
Ti 0.715 0.715 0.000
Al 0.000 0.625 0.500
Al 0.375 0.375 0.500
Al 0.625 0.000 0.500
Re 0.000 0.000 0.500
Rh 0.333 0.667 0.000
Rh 0.667 0.333 0.000
```

Computed properties:
* total DFT energy (no corrections): -7.51 eV per atom

One value per record, in order, for magnetic moment: 0.000, 0.000, 0.116, 0.000, 0.000, 0.178, 0.000, 0.000 μB/atom.